BiTeS2, optimized geometry, DFT PBE-GGA; symmetry = Fm-3m, No. 225; formation energy (no corrections) = 275 meV per atom; polymorph energy (0 for the lowest one) = 37.27 kJ/mol of atoms
1.0
-0.7036 -4.8755 0.9850
2.0434 -2.0538 4.1039
-2.9289 -1.3901 3.8373
S Bi Te
2 1 1
direct
0.7500 0.7500 0.7500
0.2500 0.2500 0.2500
0.5000 0.5000 0.5000
0.0000 0.0000 0.0000

---

Pm2ScZnSe5, optimized geometry, DFT PBE-GGA; symmetry = Cmc2_1, No. 36; formation energy (no corrections) = -1544 meV per atom
1.0
-3.8325 0.7527 0.7542
-0.3198 -4.1067 -8.0168
-1.0241 -10.7987 5.5727
Sc Se Pm Zn
2 10 4 2
direct
0.7993 0.5987 0.5142
0.2007 0.4013 0.0142
0.3550 0.7100 0.0007
0.7134 0.4269 0.1670
0.6900 0.3799 0.8557
0.6450 0.2900 0.5007
0.0489 0.0977 0.0647
0.4969 0.9938 0.7769
0.3100 0.6201 0.3557
0.9511 0.9023 0.5647
0.5031 0.0062 0.2769
0.2866 0.5731 0.6670
0.8675 0.7351 0.8084
0.8842 0.7684 0.1839
0.1325 0.2649 0.3084
0.1158 0.2316 0.6839
0.5574 0.1147 0.9524
0.4426 0.8853 0.4524